1.
VASP calculation (PBE) on a geometry-optimized Ba2MoBr structure.

Values from the calculation:
ΔE to the lowest computed polymorph (meV per atom): 241
DOS(E_F) (states/eV per atom): 1.03
Mass density (Mg/m³): 5.24

Cell lengths 3.856, 5.619, 13.182 Å; angles 90.00, 90.00, 90.00 degrees
Space group Imm2 (No. 44)
One atom of each set of equivalent atoms:
Ba 0.000 0.000 0.000 x2
Ba 0.000 0.500 0.205 x2
Mo 0.000 0.000 0.467 x2
Br 0.000 0.500 0.730 x2



2.
VASP calculation (PBE) on a geometry-optimized Ba2MoBr structure.

Values from the calculation:
ΔE to the lowest computed polymorph (meV per atom): 0
DOS(E_F) (states/eV per atom): 1.06
Mass density (Mg/m³): 5.42

Cell lengths 3.930, 3.914, 8.975 Å; angles 90.00, 90.29, 90.00 degrees
Space group P2/m (No. 10)
One atom of each set of equivalent atoms:
Ba 0.001 0.000 0.235 x2
Mo 0.500 0.500 0.000 x1
Br 0.500 0.500 0.500 x1



3.
VASP calculation (PBE) on a geometry-optimized BaMo2Br structure.

Values from the calculation:
ΔE to the lowest computed polymorph (meV per atom): 1189
DOS(E_F) (states/eV per atom): 1.39
Mass density (Mg/m³): 7.59

Cell lengths 3.206, 3.206, 8.711 Å; angles 90.00, 90.00, 90.00 degrees
Space group P4/mmm (No. 123)
One atom of each set of equivalent atoms:
Ba 0.000 0.000 0.000 x1
Mo 0.500 0.500 0.326 x2
Br 0.000 0.000 0.500 x1



4.
VASP calculation (PBE) on a geometry-optimized BaMoBr2 structure.

Values from the calculation:
ΔE to the lowest computed polymorph (meV per atom): 0
DOS(E_F) (states/eV per atom): 0.13
Mass density (Mg/m³): 4.41

Cell lengths 10.522, 5.032, 5.598 Å; angles 90.00, 93.68, 90.00 degrees
Space group C2/m (No. 12)
One atom of each set of equivalent atoms:
Ba 0.000 0.000 0.000 x2
Mo 0.000 0.500 0.500 x2
Br 0.183 0.500 0.218 x4



5.
VASP calculation (PBE) on a geometry-optimized BaMo2Br structure.

Values from the calculation:
ΔE to the lowest computed polymorph (meV per atom): 341
DOS(E_F) (states/eV per atom): 0.76
Mass density (Mg/m³): 5.76

Cell lengths 3.421, 6.547, 5.269 Å; angles 90.00, 90.86, 90.00 degrees
Space group P2/m (No. 10)
One atom of each set of equivalent atoms:
Ba 0.000 0.000 0.000 x1
Mo 0.266 0.500 0.155 x2
Br 0.500 0.000 0.500 x1



6.
VASP calculation (PBE) on a geometry-optimized BaMoBr3 structure.

Values from the calculation:
ΔE to the lowest computed polymorph (meV per atom): 0
DOS(E_F) (states/eV per atom): 0.61
Mass density (Mg/m³): 5.08

Cell lengths 5.367, 5.367, 5.367 Å; angles 90.00, 90.00, 90.00 degrees
Space group Pm-3m (No. 221)
One atom of each set of equivalent atoms:
Ba 0.000 0.000 0.000 x1
Mo 0.500 0.500 0.500 x1
Br 0.000 0.500 0.500 x3



7.
VASP calculation (PBE) on a geometry-optimized BaMo2Br structure.

Values from the calculation:
ΔE to the lowest computed polymorph (meV per atom): 0
DOS(E_F) (states/eV per atom): 0.72
Mass density (Mg/m³): 6.93

Cell lengths 3.458, 3.353, 8.558 Å; angles 90.00, 99.16, 90.00 degrees
Space group Pm (No. 6)
One atom of each set of equivalent atoms:
Ba 0.000 0.000 0.000 x1
Mo 0.255 0.000 0.440 x1
Mo 0.644 0.500 0.308 x1
Br 0.386 0.500 0.716 x1



8.
VASP calculation (PBE) on a geometry-optimized BaMo2Br structure.

Values from the calculation:
ΔE to the lowest computed polymorph (meV per atom): 1203
DOS(E_F) (states/eV per atom): 1.41
Mass density (Mg/m³): 7.78

Cell lengths 3.164, 5.447, 10.130 Å; angles 90.00, 90.00, 90.00 degrees
Space group Cmmm (No. 65)
One atom of each set of equivalent atoms:
Ba 0.000 0.000 0.000 x2
Mo 0.000 0.500 0.283 x4
Br 0.000 0.000 0.500 x2



In order of appearance, energy relative to the elements, uncorrected = 0.273 0.032 1.355 -0.290 0.507 -0.623 0.166 1.369 eV/atom.